Entry 1:
DFT (GGA-PBE) results for a relaxed TaRe2Tc crystal.

abc: 4.4544 4.4544 4.4544
angles: 60.00 60.00 60.00
Element x y z (fractional)
Ta 0.0000 0.0000 0.0000
Re 0.5000 0.5000 0.5000
Re 0.7500 0.7500 0.7500
Tc 0.2500 0.2500 0.2500

Calculated values
Offset from the most stable computed form ... 40 meV per atom
Space-group type ... F-43m, No. 216
Formation enthalpy at 0 K ... -0.030 eV/atom

---

Entry 2:
DFT (GGA-PBE) results for a relaxed YMg2Co crystal.

abc: 9.1748 9.1748 9.1748
angles: 21.33 21.33 21.33
Element x y z (fractional)
Y 0.0000 0.0000 0.0000
Mg 0.2286 0.2286 0.2286
Mg 0.4649 0.4649 0.4649
Co 0.7332 0.7332 0.7332

Calculated values
Space-group type ... R3m, No. 160
Formation enthalpy at 0 K ... 0.189 eV/atom

---

Entry 3:
DFT (GGA-PBE) results for a relaxed K2Sm2US6 crystal.

abc: 7.0738 7.0738 7.8853
angles: 98.74 98.74 119.79
Element x y z (fractional)
K 0.1694 0.8306 0.0000
K 0.8306 0.1694 0.0000
Sm 0.3337 0.6663 0.5000
Sm 0.6663 0.3337 0.5000
U 0.0000 0.0000 0.5000
S 0.0637 0.3892 0.6970
S 0.2524 0.2524 0.3036
S 0.3892 0.0637 0.6970
S 0.6108 0.9363 0.3030
S 0.7476 0.7476 0.6964
S 0.9363 0.6108 0.3030

Calculated values
Formation energy without anion corrections ... -1730 meV per atom
Space-group type ... C2/m, No. 12

---

Entry 4:
DFT (GGA-PBE) results for a relaxed Os2AuCl crystal.

abc: 2.8428 2.8428 9.2510
angles: 90.00 90.00 122.06
Element x y z (fractional)
Os 0.0000 0.0000 0.2356
Os 0.0000 0.0000 0.7644
Au 0.5000 0.5000 0.5000
Cl 0.5000 0.5000 0.0000

Calculated values
Formation energy without anion corrections ... 1030 meV per atom
Offset from the most stable computed form ... 702 meV per atom
Space-group type ... Cmmm, No. 65

---

Entry 5:
DFT (GGA-PBE) results for a relaxed K2Na2S crystal.

abc: 11.1797 11.1797 11.1797
angles: 157.90 157.90 31.46
Element x y z (fractional)
K 0.0703 0.0703 0.0000
K 0.9297 0.9297 0.0000
Na 0.2500 0.7500 0.5000
Na 0.7500 0.2500 0.5000
S 0.5000 0.5000 0.0000

Calculated values
Formation energy without anion corrections ... -316 meV per atom
Offset from the most stable computed form ... 55 meV per atom
Space-group type ... I4/mmm, No. 139

---

Entry 6:
DFT (GGA-PBE) results for a relaxed Zn3GaO crystal.

abc: 4.2523 4.2523 4.2523
angles: 90.00 90.00 90.00
Element x y z (fractional)
Zn 0.0000 0.0000 0.5000
Zn 0.0000 0.5000 0.0000
Zn 0.5000 0.0000 0.0000
Ga 0.5000 0.5000 0.5000
O 0.0000 0.0000 0.0000

Calculated values
Formation energy without anion corrections ... -107 meV per atom
Offset from the most stable computed form ... 0 meV per atom
Space-group type ... Pm-3m, No. 221

---

Entry 7:
DFT (GGA-PBE) results for a relaxed Fe7Co16Ni6 crystal.

abc: 7.9103 7.9103 7.9103
angles: 60.00 60.00 60.00
Element x y z (fractional)
Fe 0.0000 0.0000 0.0000
Fe 0.0000 0.0000 0.5000
Fe 0.0000 0.5000 0.0000
Fe 0.0000 0.5000 0.5000
Fe 0.5000 0.0000 0.0000
Fe 0.5000 0.0000 0.5000
Fe 0.5000 0.5000 0.0000
Co 0.0013 0.3329 0.3329
Co 0.1196 0.1196 0.1196
Co 0.1196 0.1196 0.6411
Co 0.1196 0.6411 0.1196
Co 0.3329 0.0013 0.3329
Co 0.3329 0.3329 0.0013
Co 0.3329 0.3329 0.3329
Co 0.3589 0.8804 0.8804
Co 0.6411 0.1196 0.1196
Co 0.6671 0.6671 0.6671
Co 0.6671 0.6671 0.9987
Co 0.6671 0.9987 0.6671
Co 0.8804 0.3589 0.8804
Co 0.8804 0.8804 0.3589
Co 0.8804 0.8804 0.8804
Co 0.9987 0.6671 0.6671
Ni 0.2768 0.2768 0.7232
Ni 0.2768 0.7232 0.2768
Ni 0.2768 0.7232 0.7232
Ni 0.7232 0.2768 0.2768
Ni 0.7232 0.2768 0.7232
Ni 0.7232 0.7232 0.2768

Calculated values
Space-group type ... Fm-3m, No. 225
Formation enthalpy at 0 K ... 0.217 eV/atom

---

Entry 8:
DFT (GGA-PBE) results for a relaxed Hf2TaS crystal.

abc: 9.4201 9.4201 9.4201
angles: 19.28 19.28 19.28
Element x y z (fractional)
Hf 0.0999 0.0999 0.0999
Hf 0.9001 0.9001 0.9001
Ta 0.0000 0.0000 0.0000
S 0.5000 0.5000 0.5000

Calculated values
Formation energy without anion corrections ... -122 meV per atom
Space-group type ... R-3m, No. 166

---

Taking the records one at a time from the top gives density values of 17.31; 3.64; 4.12; 16.06; 1.31; 6.09; 8.00; 11.87 g/cm3.